This record from Alexandria describes Ac4NiPtI2 after structural relaxation. The functional is PBE-GGA.

```
Ac4NiPtI2
1.0
4.440 0.000 0.000
0.000 7.656 0.142
0.000 -2.721 8.574
Ac Ni Pt I
4 1 1 2
Cartesian
0.000 5.128 1.682
2.220 3.718 7.118
2.220 1.218 1.598
0.000 -0.193 7.034
0.000 0.000 0.000
2.220 3.828 0.071
2.220 -1.360 4.287
0.000 2.468 4.358
```

Properties
For the volume, the calculation gives 36.7 A^3/atom.

This record from Alexandria describes Ac4NiRhI2 after structural relaxation. The functional is PBE-GGA.

```
Ac4NiRhI2
1.0
4.360 0.000 0.000
0.000 7.584 0.136
0.000 -2.694 8.609
Ac Rh Ni I
4 1 1 2
Cartesian
2.180 3.652 7.127
2.180 1.237 1.618
0.000 -0.123 7.080
0.000 5.013 1.665
0.000 0.000 0.000
2.180 3.792 0.068
0.000 2.445 4.372
2.180 -1.347 4.305
```

Properties
For the volume, the calculation gives 35.8 A^3/atom.

This record from Alexandria describes Ac6NiRh2I2 after structural relaxation. The functional is PBE-GGA.

```
Ac6NiRh2I2
1.0
7.565 -0.023 0.074
-3.759 6.565 0.074
-1.349 -2.319 8.545
Rh Ac Ni I
2 6 1 2
Cartesian
3.149 0.994 4.346
-0.692 3.229 4.346
1.821 -1.177 5.879
4.380 3.222 2.814
1.847 3.175 5.946
0.636 5.400 2.814
-1.923 1.001 5.879
0.610 1.048 2.747
-0.675 -1.160 4.273
-1.876 5.470 0.074
5.683 1.072 0.074
```

Properties
For the volume, the calculation gives 38.8 A^3/atom.

This record from Alexandria describes Ac6NiRh2I3 after structural relaxation. The functional is PBE-GGA.

```
Ac6NiRh2I3
1.0
7.573 -0.001 0.000
-3.786 6.559 0.000
-1.263 -2.187 8.668
I Rh Ni Ac
3 2 1 6
Cartesian
5.045 0.000 4.334
-2.521 4.370 4.334
1.262 2.185 4.334
3.787 2.185 0.000
0.001 4.372 0.000
0.000 0.000 0.000
2.527 4.375 1.593
3.784 2.188 7.075
0.004 4.371 7.075
2.521 -0.001 1.593
-1.260 2.183 1.593
-0.003 -0.005 7.075
```

Properties
For the volume, the calculation gives 35.9 A^3/atom.

This record from Alexandria describes Ac4NiRuI2 after structural relaxation. The functional is PBE-GGA.

```
Ac4NiRuI2
1.0
-2.455 -2.143 -2.874
-4.104 -2.817 5.606
-3.982 7.752 -2.379
I Ru Ac Ni
2 1 4 1
Cartesian
-4.043 2.467 1.614
-3.219 2.804 -2.627
-3.280 -2.480 1.366
-4.371 5.530 -0.390
-7.641 3.104 0.928
-2.900 -0.313 -0.574
-3.715 -0.596 3.618
0.000 0.000 0.000
```

Properties
For the volume, the calculation gives 35.3 A^3/atom.

This record from Alexandria describes Ac6NiRu2I3 after structural relaxation. The functional is PBE-GGA.

```
Ac6NiRu2I3
1.0
7.510 -0.001 0.000
-3.754 6.504 0.000
-1.252 -2.168 8.689
Ni I Ac Ru
1 3 6 2
Cartesian
0.000 0.000 0.000
-2.488 4.328 4.345
4.992 0.008 4.345
1.252 2.168 4.345
2.485 4.303 1.601
0.019 0.033 7.088
2.540 0.000 1.601
-1.270 2.200 1.601
-0.036 4.336 7.088
3.774 2.135 7.088
0.002 4.335 0.000
3.754 2.168 0.000
```

Properties
For the volume, the calculation gives 35.4 A^3/atom.

This record from Alexandria describes Ac8Ni3SI4 after structural relaxation. The functional is PBE-GGA.

```
Ac8Ni3SI4
1.0
8.760 0.000 0.000
0.000 9.856 0.772
-4.380 -4.383 6.194
Ni I Ac S
3 4 8 1
Cartesian
-2.190 2.737 3.483
4.380 4.928 0.386
2.190 2.737 3.483
0.000 0.000 0.000
2.190 -2.191 3.097
4.380 0.000 0.000
-2.190 -2.191 3.097
2.253 2.856 0.515
4.380 4.722 3.337
2.127 2.617 6.452
6.507 2.856 0.515
0.000 0.752 3.629
0.000 4.745 3.445
-2.127 2.617 6.452
4.380 0.728 3.521
0.000 4.928 0.386
```

Properties
For the volume, the calculation gives 35.3 A^3/atom.

This record from Alexandria describes Ac4NiSbI2 after structural relaxation. The functional is PBE-GGA.

```
Ac4NiSbI2
1.0
-2.598 -3.475 -0.882
4.660 -4.780 5.111
-6.199 3.389 4.907
I Ac Sb Ni
2 4 1 1
Cartesian
-4.399 -0.043 2.013
-0.770 -0.695 5.009
-2.604 -2.812 7.638
-3.788 1.533 5.119
2.248 -2.924 4.899
-1.534 -2.054 1.498
1.031 -4.128 2.115
0.000 0.000 0.000
```

Properties
For the volume, the calculation gives 38.5 A^3/atom.

This record from Alexandria describes Ac4NiSeI2 after structural relaxation. The functional is PBE-GGA.

```
Ac4NiSeI2
1.0
4.326 0.000 0.000
0.000 8.033 0.226
0.000 -2.705 8.233
I Se Ac Ni
2 1 4 1
Cartesian
2.163 -1.353 4.116
0.000 2.664 4.229
2.163 4.017 0.113
2.163 1.140 1.604
0.000 5.443 1.820
0.000 -0.115 6.639
2.163 4.188 6.855
0.000 0.000 0.000
```

Properties
For the volume, the calculation gives 36.1 A^3/atom.

This record from Alexandria describes Ac6SiNi2I3 after structural relaxation. The functional is PBE-GGA.

```
Ac6SiNi2I3
1.0
-1.729 -1.856 -3.591
8.929 0.380 -4.496
-0.172 -8.156 6.990
Ac Ni I Si
6 2 3 1
Cartesian
3.632 -4.030 -2.357
7.085 -5.877 -0.374
-0.056 -3.756 -0.723
3.397 -5.602 1.260
2.012 -0.262 -0.833
5.017 -9.370 -0.264
2.670 -2.960 0.245
4.359 -6.672 -1.342
7.140 -2.587 -2.100
3.600 -0.738 -4.043
-0.111 -7.045 1.004
-0.864 -0.928 -1.795
```

Properties
For the volume, the calculation gives 36.2 A^3/atom.

This record from Alexandria describes Ac8SiNi3I4 after structural relaxation. The functional is PBE-GGA.

```
Ac8SiNi3I4
1.0
8.885 -0.003 0.005
-0.003 9.899 0.721
-4.437 -4.449 6.275
Ac I Ni Si
8 4 3 1
Cartesian
2.143 2.561 6.474
6.582 2.884 0.529
-2.138 2.563 6.472
0.000 4.706 3.448
4.444 0.741 3.553
4.442 4.754 3.373
2.301 2.886 0.527
0.002 0.693 3.627
-2.219 -2.224 3.138
0.000 0.000 0.000
2.224 -2.226 3.140
4.442 -0.002 0.002
2.222 2.723 3.500
-2.220 2.725 3.498
4.441 4.948 0.363
-0.002 4.949 0.360
```

Properties
For the volume, the calculation gives 36.3 A^3/atom.

This record from Alexandria describes Ac2SmNi2I2 after structural relaxation. The functional is PBE-GGA.

```
Ac2SmNi2I2
1.0
5.006 0.000 0.000
0.000 5.006 0.000
-2.503 -2.503 8.972
I Sm Ni Ac
2 1 2 2
Cartesian
0.000 0.000 3.386
2.503 2.503 5.586
0.000 0.000 0.000
0.000 2.503 0.000
2.503 0.000 0.000
0.000 0.000 7.005
2.503 2.503 1.967
```

Properties
For the volume, the calculation gives 32.1 A^3/atom.

This record from Alexandria describes Ac6Ni2SnI3 after structural relaxation. The functional is PBE-GGA.

```
Ac6Ni2SnI3
1.0
4.509 0.000 0.000
0.000 10.058 -0.092
-2.254 -3.358 9.991
Sn Ac Ni I
1 6 2 3
Cartesian
2.254 0.000 0.000
2.254 0.270 3.306
0.000 2.416 6.294
0.000 2.318 0.503
0.000 6.430 6.592
2.254 4.381 9.396
2.254 4.283 3.604
2.254 4.414 6.481
0.000 2.285 3.417
2.254 5.029 -0.046
2.254 -0.650 6.837
0.000 7.349 3.061
```

Properties
For the volume, the calculation gives 37.6 A^3/atom.

This record from Alexandria describes AcTbNiI after structural relaxation. The functional is PBE-GGA.

```
AcTbNiI
1.0
-3.906 0.898 1.189
0.752 -3.403 -2.309
3.430 -3.894 6.855
I Tb Ni Ac
1 1 1 1
Cartesian
-2.263 -1.762 2.631
0.526 -3.328 -1.720
2.224 -5.055 5.160
0.461 -2.750 4.974
```

Properties
For the volume, the calculation gives 31.2 A^3/atom.

This record from Alexandria describes Ac8TcNi3I4 after structural relaxation. The functional is PBE-GGA.

```
Ac8TcNi3I4
1.0
8.680 0.000 0.000
0.000 9.970 0.898
-4.340 -4.334 6.143
Ni Ac Tc I
3 8 1 4
Cartesian
-2.170 2.818 3.521
2.170 2.818 3.521
4.340 4.985 0.449
0.000 0.817 3.644
0.000 4.865 3.402
4.340 0.771 3.640
2.190 2.682 6.511
4.340 4.818 3.397
2.150 2.953 0.531
6.530 2.953 0.531
-2.190 2.682 6.511
0.000 4.985 0.449
2.170 -2.167 3.072
0.000 0.000 0.000
-2.170 -2.167 3.072
4.340 0.000 0.000
```

Properties
For the volume, the calculation gives 35.3 A^3/atom.

This record from Alexandria describes Ac3NiTeI after structural relaxation. The functional is PBE-GGA.

```
Ac3NiTeI
1.0
-0.919 -3.440 -2.115
3.811 -4.871 6.269
-11.858 1.512 2.692
I Te Ac Ni
2 2 6 2
Cartesian
-7.172 -0.599 2.062
-1.795 -6.200 4.784
-6.818 -5.507 5.838
-2.148 -1.292 1.007
-7.622 -2.263 4.964
-10.549 -0.308 3.055
-3.950 -3.553 5.469
-5.016 -3.246 1.377
1.582 -6.491 3.791
-1.345 -4.536 1.882
-10.277 -3.321 3.784
1.311 -3.478 3.061
```

Properties
For the volume, the calculation gives 35.1 A^3/atom.

This record from Alexandria describes Ac4NiTeI2 after structural relaxation. The functional is PBE-GGA.

```
Ac4NiTeI2
1.0
4.392 0.000 0.000
0.000 8.440 0.355
0.000 -2.754 8.108
Te I Ac Ni
1 2 4 1
Cartesian
0.000 0.000 0.000
0.000 2.843 4.232
2.196 -1.377 4.054
2.196 4.013 6.647
0.000 0.327 6.676
0.000 5.360 1.787
2.196 1.673 1.816
2.196 4.220 0.177
```

Properties
For the volume, the calculation gives 38.1 A^3/atom.

This record from Alexandria describes Ac8Ni3TeI4 after structural relaxation. The functional is PBE-GGA.

```
Ac8Ni3TeI4
1.0
9.008 0.000 0.000
0.000 9.908 0.638
-4.504 -4.505 6.368
Ni Te I Ac
3 1 4 8
Cartesian
-2.252 2.701 3.503
4.504 4.954 0.319
2.252 2.701 3.503
0.000 4.954 0.319
2.252 -2.252 3.184
-2.252 -2.252 3.184
0.000 0.000 0.000
4.504 0.000 0.000
6.569 2.796 0.520
4.504 0.737 3.439
2.439 2.796 0.520
0.000 4.666 3.567
-2.065 2.607 6.486
2.065 2.607 6.486
0.000 0.688 3.677
4.504 4.715 3.329
```

Properties
For the volume, the calculation gives 37.1 A^3/atom.

This record from Alexandria describes Ac4NiTe2I after structural relaxation. The functional is PBE-GGA.

```
Ac4NiTe2I
1.0
-4.046 -1.807 -0.045
3.276 -7.278 -2.272
-0.156 0.146 8.250
Ac Te Ni I
4 2 1 1
Cartesian
0.840 -2.025 5.838
0.251 -6.109 4.544
2.279 -5.107 0.140
-1.178 -2.830 1.389
-2.101 -0.830 4.103
1.560 -3.566 2.989
-0.385 -4.543 -1.158
0.000 0.000 0.000
```

Properties
For the volume, the calculation gives 36.2 A^3/atom.

This record from Alexandria describes Ac6TlNi2I3 after structural relaxation. The functional is PBE-GGA.

```
Ac6TlNi2I3
1.0
-0.775 -0.893 -4.245
9.834 -2.346 -1.301
-4.972 -8.338 4.949
Tl I Ni Ac
1 3 2 6
Cartesian
-0.387 -0.447 -2.122
4.530 -1.620 -2.773
-2.414 -6.811 -0.413
6.502 -4.765 -0.184
2.548 -7.750 -1.121
1.540 -3.827 0.524
1.037 -6.640 1.208
3.051 -4.937 -1.805
2.225 -1.036 -0.188
-0.776 -3.666 -1.374
1.863 -10.540 -0.409
4.864 -7.911 0.777
```

Properties
For the volume, the calculation gives 37.7 A^3/atom.

In the order shown, the computed energy relative to the elements, uncorrected values come out to -968.1 -881.2 -754.6 -933.4 -749.7 -743.5 -881.4 -869.3 -1036.6 -751.1 -720.1 -615.8 -744.8 -669.7 -672.2 -843.6 -929.8 -793.0 -1005.0 -669.0 meV/atom.